Entry 1:
A plane-wave DFT calculation with GGA-PBE was carried out for an optimized crystal structure of Ac3DyTl4.

Computed properties:
polymorph energy (0 for the lowest one): 172.5 meV per atom
size of the total moment: 0.00 μB/f.u.
crystal system: orthorhombic
calculated volume: 302 Å³/f.u.

a b c (Å): 4.8124 7.8485 16.0043
angles (deg): 90.00 90.00 90.00
With the nearest neighbours (Å) after each atom.
Space group Immm (No. 71)
Unique sites:
Ac (0.0000, 0.0000, 0.0000) (multiplicity 2)  8 Tl 3.49
Ac (0.0000, 0.5000, 0.1891) (multiplicity 4)  6 Tl 3.41-3.52
Dy (0.0000, 0.0000, 0.5000) (multiplicity 2)  4 Tl 3.05
Tl (0.0000, 0.2976, 0.3774) (multiplicity 8)  1 Dy 3.05, 1 Tl 3.18, 1 Ac 3.41

Entry 2:
A plane-wave DFT calculation with GGA-PBE was carried out for an optimized crystal structure of Ac2DyTl4.

Computed properties:
polymorph energy (0 for the lowest one): 60.0 meV per atom
size of the total moment: 0.00 μB/f.u.
crystal system: tetragonal
calculated volume: 239 Å³/f.u.

a b c (Å): 5.5374 5.5374 15.5677
angles (deg): 90.00 90.00 90.00
With the nearest neighbours (Å) after each atom.
Space group I4/mmm (No. 139)
Unique sites:
Ac (0.0000, 0.0000, 0.2463) (multiplicity 4)  8 Tl 3.54-3.61, 4 Ac 3.92, 1 Dy 3.95
Dy (0.0000, 0.0000, 0.5000) (multiplicity 2)  8 Tl 3.21
Tl (0.0000, 0.5000, 0.1044) (multiplicity 8)  2 Dy 3.21, 1 Tl 3.25, 2 Ac 3.54

Entry 3:
A plane-wave DFT calculation with GGA-PBE was carried out for an optimized crystal structure of Ac2DyTl2.

Computed properties:
polymorph energy (0 for the lowest one): 0.0 meV per atom
size of the total moment: 0.00 μB/f.u.
crystal system: monoclinic
calculated volume: 178 Å³/f.u.

a b c (Å): 13.1441 5.0970 12.1779
angles (deg): 90.00 119.37 90.00
With the nearest neighbours (Å) after each atom.
Space group C2/m (No. 12)
Unique sites:
Ac (0.0172, 0.0000, 0.1785) (multiplicity 4)  6 Tl 3.54-3.75, 3 Dy 3.77-3.85
Ac (0.1838, 0.0000, 0.5985) (multiplicity 4)  6 Tl 3.46-3.86
Dy (0.2108, 0.5000, 0.8635) (multiplicity 4)  4 Tl 3.09-3.17
Tl (0.0318, 0.5000, 0.3904) (multiplicity 4)  1 Tl 3.16, 1 Dy 3.17, 2 Ac 3.46
Tl (0.1377, 0.5000, 0.0756) (multiplicity 4)  3 Dy 3.09-3.17, 1 Tl 3.15

Entry 4:
A plane-wave DFT calculation with GGA-PBE was carried out for an optimized crystal structure of Ac2DyTl.

Computed properties:
polymorph energy (0 for the lowest one): 81.0 meV per atom
size of the total moment: 0.00 μB/f.u.
crystal system: cubic
calculated volume: 145 Å³/f.u.

a b c (Å): 8.3407 8.3407 8.3407
angles (deg): 90.00 90.00 90.00
With the nearest neighbours (Å) after each atom.
Space group Fm-3m (No. 225)
Unique sites:
Ac (0.2500, 0.2500, 0.2500) (multiplicity 8)  4 Dy 3.61, 4 Tl 3.61
Dy (0.0000, 0.0000, 0.0000) (multiplicity 4)  8 Ac 3.61
Tl (0.0000, 0.0000, 0.5000) (multiplicity 4)  8 Ac 3.61

Entry 5:
A plane-wave DFT calculation with GGA-PBE was carried out for an optimized crystal structure of AcDy8Tl6.

Computed properties:
uncorrected energy: -170.71 eV/cell
size of the total moment: 0.00 μB/f.u.
crystal system: trigonal
calculated volume: 481 Å³/f.u.

a b c (Å): 9.2604 9.2604 19.4435
angles (deg): 90.00 90.00 120.00
With the nearest neighbours (Å) after each atom.
Space group R-3 (No. 148, hexagonal axes)
Unique sites:
Ac (0.0000, 0.0000, 0.0000) (multiplicity 3)  6 Tl 3.45, 6 Dy 3.73
Dy (0.0000, 0.0000, 0.3315) (multiplicity 6)  6 Tl 3.27-3.29
Dy (0.0019, 0.3313, 0.1097) (multiplicity 18)  5 Tl 3.09-3.39
Tl (0.9996, 0.3462, 0.9354) (multiplicity 18)  7 Dy 3.09-3.39, 1 Ac 3.45

Entry 6:
A plane-wave DFT calculation with GGA-PBE was carried out for an optimized crystal structure of Ac3Dy2Tl4.

Computed properties:
uncorrected energy: -67.10 eV/cell
size of the total moment: 0.00 μB/f.u.
crystal system: monoclinic
calculated volume: 306 Å³/f.u.

a b c (Å): 13.0803 5.1202 10.4310
angles (deg): 90.00 118.67 90.00
With the nearest neighbours (Å) after each atom.
Space group C2/m (No. 12)
Unique sites:
Ac (0.0000, 0.0000, 0.0000) (multiplicity 2)  4 Tl 3.47
Ac (0.1397, 0.5000, 0.6895) (multiplicity 4)  7 Tl 3.39-3.66, 3 Dy 3.74-3.79
Dy (0.1503, 0.5000, 0.3208) (multiplicity 4)  4 Tl 3.04-3.33
Tl (0.0759, 0.0000, 0.4101) (multiplicity 4)  3 Dy 3.04-3.33, 1 Tl 3.32
Tl (0.1926, 0.5000, 0.0414) (multiplicity 4)  1 Dy 3.22, 2 Tl 3.29, 3 Ac 3.39-3.47

Entry 7:
A plane-wave DFT calculation with GGA-PBE was carried out for an optimized crystal structure of Ac2DyTl.

Computed properties:
polymorph energy (0 for the lowest one): 7.8 meV per atom
size of the total moment: 0.01 μB/f.u.
crystal system: tetragonal
calculated volume: 141 Å³/f.u.

a b c (Å): 5.2230 5.2230 5.1865
angles (deg): 90.00 90.00 90.00
With the nearest neighbours (Å) after each atom.
Space group P4/mmm (No. 123)
Unique sites:
Ac (0.0000, 0.5000, 0.0000) (multiplicity 2)  4 Tl 3.68, 4 Dy 3.68, 4 Ac 3.69
Dy (0.0000, 0.0000, 0.5000) (multiplicity 1)  8 Ac 3.68, 4 Tl 3.69
Tl (0.5000, 0.5000, 0.5000) (multiplicity 1)  8 Ac 3.68, 4 Dy 3.69

Entry 8:
A plane-wave DFT calculation with GGA-PBE was carried out for an optimized crystal structure of Ac2DyTl4.

Computed properties:
polymorph energy (0 for the lowest one): 0.0 meV per atom
size of the total moment: 0.00 μB/f.u.
crystal system: monoclinic
calculated volume: 226 Å³/f.u.

a b c (Å): 6.5237 6.6299 10.7395
angles (deg): 90.00 103.26 90.00
With the nearest neighbours (Å) after each atom.
Space group P2_1/m (No. 11)
Unique sites:
Ac (0.1330, 0.2500, 0.4188) (multiplicity 2)  9 Tl 3.44-3.80
Ac (0.3332, 0.7500, 0.0007) (multiplicity 2)  8 Tl 3.36-3.70, 1 Dy 3.69
Dy (0.0615, 0.2500, 0.8024) (multiplicity 2)  4 Tl 3.10-3.20
Tl (0.1921, 0.2500, 0.1084) (multiplicity 2)  1 Dy 3.20, 2 Tl 3.31, 3 Ac 3.36-3.55
Tl (0.3036, 0.7500, 0.4397) (multiplicity 2)  1 Dy 3.10, 4 Tl 3.27
Tl (0.4014, 0.5075, 0.7121) (multiplicity 4)  1 Dy 3.12, 5 Tl 3.21-3.41